LaPr2Ni after structural relaxation, computed with PBE-GGA.

Computed properties:
- Total energy: -5.112 eV/atom
- Total moment: 0.0 μB/cell
- Formation energy from the elements: -0.182 eV per formula unit

```
data_LaPr2Ni
_cell_length_a 3.9368
_cell_length_b 3.9368
_cell_length_c 28.3634
_cell_angle_alpha 90.00
_cell_angle_beta 90.00
_cell_angle_gamma 120.00
_space_group_name_H-M_alt 'R 3 m'
_space_group_IT_number 160
_space_group_name_Hall 'R 3 -2"'
loop_
_atom_site_label
_atom_site_type_symbol
_atom_site_fract_x
_atom_site_fract_y
_atom_site_fract_z
La1 La 0.0000 0.0000 0.0000
Pr1 Pr 0.0000 0.0000 0.2264
Pr2 Pr 0.0000 0.0000 0.4424
Ni1 Ni 0.0000 0.0000 0.8348
```